Mg2MoRh: optimized geometry, PBE.

Cell: 9.2062 2.8485 5.1180 Å, 90.00 97.78 90.00°
Fractional coordinates of all 8 atoms:
Mg1 0.0000 0.0000 0.0000
Mg2 0.2390 0.0000 0.7572
Mg3 0.5000 0.5000 0.0000
Mg4 0.7390 0.5000 0.7572
Mo1 0.4839 0.0000 0.4755
Mo2 0.9839 0.5000 0.4755
Rh1 0.2420 0.5000 0.2843
Rh2 0.7420 0.0000 0.2843

Output
ΔE_f, kJ/mol of atoms: 4
Calculated volume, Å³ per cell: 133
N(E_F), states/eV/cell: 6.12
Uncorrected energy, eV/cell: -42.41